A crystal of MnIr3 relaxed with PBEsol. Source: Alexandria via LeMat-Bulk, functional SCAN.

The structure in CIF format:
```
data_MnIr3
_symmetry_space_group_name_H-M 'P 1'
_symmetry_Int_Tables_number 1
_cell_length_a 2.679
_cell_length_b 3.745
_cell_length_c 5.349
_cell_angle_alpha 90.00
_cell_angle_beta 90.00
_cell_angle_gamma 90.00
loop_
_symmetry_equiv_pos_as_xyz
'x,y,z'
loop_
_atom_site_label
_atom_site_type_symbol
_atom_site_fract_x
_atom_site_fract_y
_atom_site_fract_z
Mn1 Mn 0.000 0.000 0.000
Ir1 Ir 0.000 0.000 0.500
Ir2 Ir 0.500 0.500 0.244
Ir3 Ir 0.500 0.500 0.756
```

## Properties
DOS at the Fermi energy, states/eV/cell: 3.2
SG: Pmmm (47)
Energy of formation, eV per atom: -0.242
Total magnetic moment, μB/f.u.: 2.93

A crystal of MnIr3 relaxed with PBEsol. Source: Alexandria via LeMat-Bulk, functional SCAN.

The structure in CIF format:
```
data_MnIr3
_symmetry_space_group_name_H-M 'P 1'
_symmetry_Int_Tables_number 1
_cell_length_a 4.611
_cell_length_b 4.611
_cell_length_c 2.699
_cell_angle_alpha 90.00
_cell_angle_beta 90.00
_cell_angle_gamma 109.16
loop_
_symmetry_equiv_pos_as_xyz
'x,y,z'
loop_
_atom_site_label
_atom_site_type_symbol
_atom_site_fract_x
_atom_site_fract_y
_atom_site_fract_z
Mn1 Mn 0.000 0.000 0.000
Ir1 Ir 0.000 0.500 0.500
Ir2 Ir 0.500 0.000 0.500
Ir3 Ir 0.500 0.500 0.000
```

## Properties
DOS at the Fermi energy, states/eV/cell: 3.3
SG: Cmmm (65)
Energy of formation, eV per atom: -0.275
Total magnetic moment, μB/f.u.: 3.06

A crystal of MnIr3 relaxed with PBEsol. Source: Alexandria via LeMat-Bulk, functional SCAN.

The structure in CIF format:
```
data_MnIr3
_symmetry_space_group_name_H-M 'P 1'
_symmetry_Int_Tables_number 1
_cell_length_a 4.624
_cell_length_b 4.624
_cell_length_c 4.613
_cell_angle_alpha 100.06
_cell_angle_beta 100.06
_cell_angle_gamma 33.77
loop_
_symmetry_equiv_pos_as_xyz
'x,y,z'
loop_
_atom_site_label
_atom_site_type_symbol
_atom_site_fract_x
_atom_site_fract_y
_atom_site_fract_z
Mn1 Mn 0.000 0.000 0.000
Ir1 Ir 0.253 0.253 0.754
Ir2 Ir 0.500 0.500 0.500
Ir3 Ir 0.747 0.747 0.246
```

## Properties
DOS at the Fermi energy, states/eV/cell: 2.9
SG: C2/m (12)
Energy of formation, eV per atom: -0.262
Total magnetic moment, μB/f.u.: 3.41

A crystal of MnIr relaxed with PBEsol. Source: Alexandria via LeMat-Bulk, functional SCAN.

The structure in CIF format:
```
data_MnIr
_symmetry_space_group_name_H-M 'P 1'
_symmetry_Int_Tables_number 1
_cell_length_a 2.996
_cell_length_b 2.996
_cell_length_c 2.996
_cell_angle_alpha 90.00
_cell_angle_beta 90.00
_cell_angle_gamma 90.00
loop_
_symmetry_equiv_pos_as_xyz
'x,y,z'
loop_
_atom_site_label
_atom_site_type_symbol
_atom_site_fract_x
_atom_site_fract_y
_atom_site_fract_z
Mn1 Mn 0.000 0.000 0.000
Ir1 Ir 0.500 0.500 0.500
```

## Properties
DOS at the Fermi energy, states/eV/cell: 1.7
SG: Pm-3m (221)
Energy of formation, eV per atom: -0.493
Total magnetic moment, μB/f.u.: 4.01

A crystal of Mn3Ir relaxed with PBEsol. Source: Alexandria via LeMat-Bulk, functional SCAN.

The structure in CIF format:
```
data_Mn3Ir
_symmetry_space_group_name_H-M 'P 1'
_symmetry_Int_Tables_number 1
_cell_length_a 2.573
_cell_length_b 2.573
_cell_length_c 7.980
_cell_angle_alpha 90.00
_cell_angle_beta 90.00
_cell_angle_gamma 120.00
loop_
_symmetry_equiv_pos_as_xyz
'x,y,z'
loop_
_atom_site_label
_atom_site_type_symbol
_atom_site_fract_x
_atom_site_fract_y
_atom_site_fract_z
Mn1 Mn 0.000 0.000 0.000
Mn2 Mn 0.667 0.333 0.239
Mn3 Mn 0.667 0.333 0.761
Ir1 Ir 0.000 0.000 0.500
```

## Properties
DOS at the Fermi energy, states/eV/cell: 4.6
SG: P-6m2 (187)
Energy of formation, eV per atom: 0.097
Total magnetic moment, μB/f.u.: 0.00

A crystal of MnIr4 relaxed with PBEsol. Source: Alexandria via LeMat-Bulk, functional SCAN.

The structure in CIF format:
```
data_MnIr4
_symmetry_space_group_name_H-M 'P 1'
_symmetry_Int_Tables_number 1
_cell_length_a 4.636
_cell_length_b 4.636
_cell_length_c 4.636
_cell_angle_alpha 99.58
_cell_angle_beta 99.58
_cell_angle_gamma 131.85
loop_
_symmetry_equiv_pos_as_xyz
'x,y,z'
loop_
_atom_site_label
_atom_site_type_symbol
_atom_site_fract_x
_atom_site_fract_y
_atom_site_fract_z
Mn1 Mn 0.000 0.000 0.000
Ir1 Ir 0.203 0.399 0.602
Ir2 Ir 0.399 0.797 0.196
Ir3 Ir 0.601 0.203 0.804
Ir4 Ir 0.797 0.601 0.398
```

## Properties
DOS at the Fermi energy, states/eV/cell: 4.1
SG: I4/m (87)
Energy of formation, eV per atom: -0.238
Total magnetic moment, μB/f.u.: 3.26

What did the fifth record say?
A crystal of Mn3Ir relaxed with PBEsol. Source: Alexandria via LeMat-Bulk, functional SCAN.

The structure in CIF format:
```
data_Mn3Ir
_symmetry_space_group_name_H-M 'P 1'
_symmetry_Int_Tables_number 1
_cell_length_a 2.573
_cell_length_b 2.573
_cell_length_c 7.980
_cell_angle_alpha 90.00
_cell_angle_beta 90.00
_cell_angle_gamma 120.00
loop_
_symmetry_equiv_pos_as_xyz
'x,y,z'
loop_
_atom_site_label
_atom_site_type_symbol
_atom_site_fract_x
_atom_site_fract_y
_atom_site_fract_z
Mn1 Mn 0.000 0.000 0.000
Mn2 Mn 0.667 0.333 0.239
Mn3 Mn 0.667 0.333 0.761
Ir1 Ir 0.000 0.000 0.500
```

## Properties
DOS at the Fermi energy, states/eV/cell: 4.6
SG: P-6m2 (187)
Energy of formation, eV per atom: 0.097
Total magnetic moment, μB/f.u.: 0.00

Question: Number 6 is which compound?
Answer: MnIr4

Question: Look up the DOS at the Fermi energy of the third one.
Answer: 2.9 states/eV/cell

Question: What is the formula in the first record?
Answer: MnIr3